# FeF | Alexandria via LeMat-Bulk | GGA+U | optimized geometry
# * polymorph energy (0 for the lowest one): 96.5 meV per atom
# * VASP energy: -4.993 eV per atom
data_FeF
_cell_length_a 2.935
_cell_length_b 3.144
_cell_length_c 6.705
_cell_angle_alpha 90.00
_cell_angle_beta 94.90
_cell_angle_gamma 90.00
_space_group_name_H-M_alt 'P 1 21/m 1'
_space_group_IT_number 11
loop_
_space_group_symop_operation_xyz
'x,y,z'
'-x,-y,-z'
'-x,y+1/2,-z'
'x,-y+1/2,z'
loop_
_atom_site_label
_atom_site_fract_x
_atom_site_fract_y
_atom_site_fract_z
_atom_site_occupancy
Fe1 0.244 0.250 0.161 1
F1 0.230 0.750 0.335 1